# Y2ReW

A relaxed Y2ReW crystal (GGA-PBE, Alexandria).

## Properties
calculated volume = 91.1 Å³ per cell
ΔE_f = 362 meV/atom
total moment = 0.00 μB/f.u.
E_tot = -36.9 eV for the cell shown

Geometry as CIF:
```
data_Y2ReW
_chemical_formula_sum 'Y2 Re1 W1'
_cell_length_a 3.166
_cell_length_b 4.220
_cell_length_c 6.965
_cell_angle_alpha 90.00
_cell_angle_beta 101.69
_cell_angle_gamma 90.00
_space_group_name_H-M_alt 'P 1 m 1'
_space_group_IT_number 6
loop_
_space_group_symop_operation_xyz
'x,y,z'
'x,-y,z'
loop_
_atom_site_label
_atom_site_fract_x
_atom_site_fract_y
_atom_site_fract_z
_atom_site_occupancy
Y1 0.000 0.000 0.000 1
Y2 0.376 0.500 0.648 1
Re1 0.508 0.500 0.245 1
W1 0.835 0.000 0.401 1
```